Record 1
Entry from Alexandria: Rb2VAsI6 after structural relaxation (GGA-PBE).

Properties
- DFT total energy: -3.1122 eV per atom
- E_form (uncorrected): -0.612 eV per atom

Cell lengths 8.2764, 8.2764, 11.6778 Å; angles 90.00, 90.00, 90.00 degrees
Last column: nearest neighbours and their distance in Å.
Space group I4/mmm (No. 139)
Asymmetric unit:
Rb 0.0000 0.5000 0.2500 [4 per cell]  12 I 4.13-4.14
V 0.0000 0.0000 0.0000 [2 per cell]  6 I 2.87
As 0.0000 0.0000 0.5000 [2 per cell]  6 I 2.97-2.98
I 0.0000 0.0000 0.2458 [4 per cell]  1 V 2.87, 1 As 2.97
I 0.2452 0.2452 0.0000 [8 per cell]  1 V 2.87, 1 As 2.98


Record 2
Entry from Alexandria: Tb2Sm4Er2Tm after structural relaxation (GGA-PBE).

Properties
- DFT total energy: -4.6187 eV per atom
- Formation energy from the elements: 0.018 eV per atom

Cell lengths 18.5579, 3.5655, 8.7582 Å; angles 90.00, 90.05, 90.00 degrees
Last column: nearest neighbours and their distance in Å.
Space group C2/m (No. 12)
Asymmetric unit:
Tb 0.1111 0.0000 0.3296 [4 per cell]  2 Er 3.54, 1 Tm 3.55, 7 Sm 3.56-3.63, 2 Tb 3.57
Sm 0.0550 0.5000 0.6696 [4 per cell]  2 Tm 3.55, 1 Er 3.56, 4 Tb 3.56-3.62, 5 Sm 3.57-3.60
Sm 0.2224 0.0000 0.6700 [4 per cell]  3 Er 3.55, 6 Sm 3.57-3.62, 3 Tb 3.57-3.63
Er 0.1663 0.5000 0.0002 [4 per cell]  2 Tb 3.54, 4 Sm 3.55-3.56, 2 Tm 3.56, 4 Er 3.57-3.58
Tm 0.0000 0.0000 0.0000 [2 per cell]  2 Tb 3.55, 4 Sm 3.55, 4 Er 3.56, 2 Tm 3.57


Record 3
Entry from Alexandria: Zn2CdIr after structural relaxation (GGA-PBE).

Properties
- DFT total energy: -2.9647 eV per atom
- Formation energy from the elements: 0.116 eV per atom

Cell lengths 2.8917, 4.8971, 9.2772 Å; angles 90.00, 90.00, 90.00 degrees
Last column: nearest neighbours and their distance in Å.
Space group Cmm2 (No. 35)
Asymmetric unit:
Zn 0.0000 0.0000 0.0000 [2 per cell]  2 Ir 2.54, 6 Zn 2.64-2.84
Zn 0.0000 0.5000 0.2386 [2 per cell]  8 Zn 2.64-2.89, 2 Cd 2.92
Cd 0.0000 0.0000 0.5122 [2 per cell]  2 Ir 2.83, 6 Cd 2.84-2.89, 2 Zn 2.92
Ir 0.0000 0.5000 0.7745 [2 per cell]  2 Zn 2.54, 2 Cd 2.83, 4 Ir 2.84


Record 4
Entry from Alexandria: Li2AcMgF8 after structural relaxation (GGA-PBE).

Properties
- DFT total energy: -5.1517 eV per atom
- E_form (uncorrected): -3.110 eV per atom

Cell lengths 5.6738, 5.6738, 6.7122 Å; angles 90.00, 90.00, 120.00 degrees
Last column: nearest neighbours and their distance in Å.
Space group P-3m1 (No. 164)
Asymmetric unit:
Li 0.3333 0.6667 0.2573 [2 per cell]  4 F 1.81-1.92
Ac 0.0000 0.0000 0.0000 [1 per cell]  6 F 2.51
Mg 0.0000 0.0000 0.5000 [1 per cell]  6 F 2.00
F 0.1514 0.3028 0.3009 [6 per cell]  1 Li 1.81, 1 Mg 2.00
F 0.3333 0.6667 0.9709 [2 per cell]  1 Li 1.92


Record 5
Entry from Alexandria: CdIn2Hg12 after structural relaxation (GGA-PBE).

Properties
- DFT total energy: -0.6247 eV per atom
- Formation energy from the elements: 0.043 eV per atom

Cell lengths 6.2401, 6.2401, 22.7480 Å; angles 90.00, 90.00, 90.00 degrees
Last column: nearest neighbours and their distance in Å.
Space group P4/nbm (No. 125, origin choice 2)
Asymmetric unit:
Cd 0.2500 0.7500 0.0000 [2 per cell]  8 Hg 3.06-3.08
In 0.2500 0.7500 0.2274 [4 per cell]  4 Hg 3.19
Hg 0.0015 0.5015 0.0941 [8 per cell]  2 Cd 3.06-3.08, 6 Hg 3.12-3.25
Hg 0.0570 0.5570 0.5672 [8 per cell]  8 Hg 3.20-3.41
Hg 0.2500 0.2500 0.1989 [4 per cell]  5 Hg 3.01-3.25, 4 In 3.19
Hg 0.2500 0.2500 0.3310 [4 per cell]  5 Hg 3.01-3.24


Record 6
Entry from Alexandria: TbSmGdDy after structural relaxation (GGA-PBE).

Properties
- DFT total energy: -6.8868 eV per atom
- Formation energy from the elements: 0.121 eV per atom

Cell lengths 8.0623, 8.0623, 8.0623 Å; angles 90.00, 90.00, 90.00 degrees
Last column: nearest neighbours and their distance in Å.
Space group F-43m (No. 216)
Asymmetric unit:
Tb 0.0000 0.0000 0.0000 [4 per cell]  4 Gd 3.49, 4 Sm 3.49
Sm 0.2500 0.2500 0.2500 [4 per cell]  4 Tb 3.49, 4 Dy 3.49
Gd 0.2500 0.2500 0.7500 [4 per cell]  4 Tb 3.49, 4 Dy 3.49
Dy 0.0000 0.0000 0.5000 [4 per cell]  4 Gd 3.49, 4 Sm 3.49


Calculated volume in Å³/atom, matching the order above: 39.995, 32.195, 16.422, 15.594, 29.526, 32.753